Entry 1:
Compound: Y6HoTmSc2
Source: the Alexandria database
Functional: PBE
Structure: optimized geometry

Cell lengths 8.6137, 8.6137, 9.4192 Å; angles 94.15, 94.15, 117.17 degrees
Positions (direct):
Y 0.0166 0.5641 0.1809
Y 0.1167 0.7581 0.5540
Y 0.2419 0.8833 0.9460
Y 0.2987 0.5029 0.3834
Y 0.4359 0.9834 0.3191
Y 0.4971 0.7013 0.1166
Y 0.5029 0.2987 0.8834
Y 0.5641 0.0166 0.6809
Y 0.7013 0.4971 0.6166
Y 0.7581 0.1167 0.0540
Y 0.8833 0.2419 0.4460
Y 0.9834 0.4359 0.8191
Ho 0.4065 0.5935 0.7500
Ho 0.5935 0.4065 0.2500
Tm 0.0263 0.9737 0.2500
Tm 0.9737 0.0263 0.7500
Sc 0.1943 0.2978 0.0479
Sc 0.2978 0.1943 0.5479
Sc 0.7022 0.8057 0.4521
Sc 0.8057 0.7022 0.9521

Calculated values
DOS at the Fermi energy: 1.701 states/eV/atom
DFT formation energy: 0.126 eV/atom


Entry 2:
Compound: VNi2Hg
Source: the Alexandria database
Functional: PBE
Structure: optimized geometry

Cell lengths 5.4722, 5.4722, 5.4722 Å; angles 104.04, 104.04, 120.99 degrees
Positions (direct):
V 0.0000 0.0000 0.0000
V 0.7500 0.2500 0.5000
Ni 0.0840 0.6250 0.9590
Ni 0.3750 0.3340 0.4590
Ni 0.6660 0.1250 0.0410
Ni 0.8750 0.9160 0.5410
Hg 0.2500 0.7500 0.5000
Hg 0.5000 0.5000 0.0000

Calculated values
DOS at the Fermi energy: 1.003 states/eV/atom
DFT formation energy: 0.485 eV/atom


Entry 3:
Compound: PrDy3Ho6
Source: the Alexandria database
Functional: PBE
Structure: optimized geometry

Cell lengths 10.9425, 10.9425, 6.1806 Å; angles 90.00, 90.00, 119.60 degrees
Positions (direct):
Pr 0.2076 0.7924 0.5000
Pr 0.7924 0.2076 0.0000
Dy 0.0654 0.2826 0.3028
Dy 0.2826 0.0654 0.8028
Dy 0.3909 0.6091 0.4162
Dy 0.6091 0.3909 0.9162
Dy 0.7174 0.9346 0.3028
Dy 0.9346 0.7174 0.8028
Ho 0.0364 0.4578 0.7098
Ho 0.0469 0.9531 0.2593
Ho 0.2865 0.7135 0.9843
Ho 0.2877 0.3815 0.8739
Ho 0.3815 0.2877 0.3739
Ho 0.4578 0.0364 0.2098
Ho 0.5422 0.9636 0.7098
Ho 0.6185 0.7123 0.8739
Ho 0.7123 0.6185 0.3739
Ho 0.7135 0.2865 0.4843
Ho 0.9531 0.0469 0.7593
Ho 0.9636 0.5422 0.2098

Calculated values
DOS at the Fermi energy: 1.378 states/eV/atom
Energy above the lowest structure with this stoichiometry: 0 meV/atom
DFT formation energy: 0.151 eV/atom


Entry 4:
Compound: Pm9Sm11Ho4
Source: the Alexandria database
Functional: PBE
Structure: optimized geometry

Cell lengths 15.5552, 15.5552, 3.6843 Å; angles 90.00, 90.00, 114.00 degrees
Positions (direct):
Pm 0.0000 0.0000 0.0000
Pm 0.1273 0.6656 0.0000
Pm 0.2873 0.4376 0.0000
Pm 0.3344 0.8727 0.0000
Pm 0.4376 0.2873 0.0000
Pm 0.5624 0.7127 0.0000
Pm 0.6656 0.1273 0.0000
Pm 0.7127 0.5624 0.0000
Pm 0.8727 0.3344 0.0000
Sm 0.0971 0.4584 0.5000
Sm 0.1301 0.8699 0.5000
Sm 0.2113 0.2113 0.5000
Sm 0.3359 0.6641 0.5000
Sm 0.4584 0.0971 0.5000
Sm 0.5000 0.5000 0.5000
Sm 0.5416 0.9029 0.5000
Sm 0.6641 0.3359 0.5000
Sm 0.7887 0.7887 0.5000
Sm 0.8699 0.1301 0.5000
Sm 0.9029 0.5416 0.5000
Ho 0.0578 0.2598 0.0000
Ho 0.2598 0.0578 0.0000
Ho 0.7402 0.9422 0.0000
Ho 0.9422 0.7402 0.0000

Calculated values
DOS at the Fermi energy: 1.342 states/eV/atom
DFT formation energy: 0.055 eV/atom


Entry 5:
Compound: Ac3PrNd12
Source: the Alexandria database
Functional: PBE
Structure: optimized geometry

Cell lengths 5.2879, 5.2879, 21.1152 Å; angles 90.00, 90.00, 90.00 degrees
Positions (direct):
Ac 0.0000 0.0000 0.0000
Ac 0.0000 0.0000 0.2516
Ac 0.0000 0.0000 0.7484
Pr 0.0000 0.0000 0.5000
Nd 0.0000 0.5000 0.1259
Nd 0.0000 0.5000 0.3783
Nd 0.0000 0.5000 0.6217
Nd 0.0000 0.5000 0.8741
Nd 0.5000 0.0000 0.1259
Nd 0.5000 0.0000 0.3783
Nd 0.5000 0.0000 0.6217
Nd 0.5000 0.0000 0.8741
Nd 0.5000 0.5000 0.0000
Nd 0.5000 0.5000 0.2524
Nd 0.5000 0.5000 0.5000
Nd 0.5000 0.5000 0.7476

Calculated values
DOS at the Fermi energy: 1.639 states/eV/atom
DFT formation energy: 0.020 eV/atom


Entry 6:
Compound: VNi2Sn
Source: the Alexandria database
Functional: PBE
Structure: optimized geometry

Cell lengths 8.8682, 8.8682, 8.8682 Å; angles 155.02, 155.02, 35.62 degrees
Positions (direct):
V 0.0000 0.0000 0.0000
V 0.7500 0.2500 0.5000
Ni 0.0996 0.6250 0.9746
Ni 0.3750 0.3496 0.4746
Ni 0.6504 0.1250 0.0254
Ni 0.8750 0.9004 0.5254
Sn 0.2500 0.7500 0.5000
Sn 0.5000 0.5000 0.0000

Calculated values
DOS at the Fermi energy: 0.626 states/eV/atom
DFT formation energy: 0.317 eV/atom


Entry 7:
Compound: PaSb2Mo
Source: the Alexandria database
Functional: PBE
Structure: optimized geometry

Cell lengths 11.0325, 11.0325, 11.0325 Å; angles 16.43, 16.43, 16.43 degrees
Positions (direct):
Pa 0.0000 0.0000 0.0000
Sb 0.4157 0.4157 0.4157
Sb 0.5843 0.5843 0.5843
Mo 0.5000 0.5000 0.5000

Calculated values
DOS at the Fermi energy: 1.569 states/eV/atom
Energy above the lowest structure with this stoichiometry: 508 meV/atom
Energy relative to the elements, uncorrected: 450 meV per atom


Entry 8:
Compound: Nd8Sb2Ru
Source: the Alexandria database
Functional: PBE
Structure: optimized geometry

Cell lengths 9.9351, 9.9351, 7.6038 Å; angles 98.48, 98.48, 27.66 degrees
Positions (direct):
Nd 0.0055 0.0055 0.2799
Nd 0.2158 0.2158 0.8482
Nd 0.3557 0.3557 0.4729
Nd 0.4050 0.4050 0.9879
Nd 0.5950 0.5950 0.0121
Nd 0.6443 0.6443 0.5271
Nd 0.7842 0.7842 0.1518
Nd 0.9945 0.9945 0.7201
Sb 0.1816 0.1816 0.2659
Sb 0.8184 0.8184 0.7341
Ru 0.5000 0.5000 0.5000

Calculated values
DOS at the Fermi energy: 1.039 states/eV/atom
Energy relative to the elements, uncorrected: -446 meV per atom


> The highest DOS at the Fermi energy belongs to which entry?

Y6HoTmSc2


> What is the formula in the fourth record?

Pm9Sm11Ho4


> What is the formula in the first record?

Y6HoTmSc2